(1)
Entry from Alexandria: a geometry-optimized MnCuP structure (PBE).

a = 3.953 Å, b = 3.953 Å, c = 3.953 Å
α = 60.00°, β = 60.00°, γ = 60.00°
Atoms (fractional coordinates):
Mn (0.000, 0.000, 0.000)
Cu (0.250, 0.250, 0.250)
P (0.750, 0.750, 0.750)

Summary:
Calculated formation energy (eV per atom): 0.055

(2)
Entry from Alexandria: a geometry-optimized CdICl structure (PBE).

a = 4.152 Å, b = 4.458 Å, c = 6.425 Å
α = 89.90°, β = 89.94°, γ = 89.99°
Atoms (fractional coordinates):
Cd (0.000, 0.000, 0.000)
I (0.000, 0.499, 0.268)
Cl (0.500, 0.999, 0.771)

Summary:
Uncorrected formation energy (kcal/mol of atoms): -18.67

(3)
Entry from Alexandria: a geometry-optimized Li7B8C8 structure (PBE).

a = 8.578 Å, b = 2.739 Å, c = 8.620 Å
α = 90.00°, β = 113.36°, γ = 90.00°
Atoms (fractional coordinates):
Li (0.000, 0.000, 0.000)
Li (0.000, 0.500, 0.500)
Li (0.249, 0.000, 0.753)
Li (0.274, 0.500, 0.272)
Li (0.500, 0.500, 0.000)
Li (0.726, 0.500, 0.728)
Li (0.751, 0.000, 0.247)
B (0.045, 0.000, 0.293)
B (0.205, 0.500, 0.960)
B (0.292, 0.500, 0.548)
B (0.464, 0.000, 0.204)
B (0.536, 0.000, 0.796)
B (0.708, 0.500, 0.452)
B (0.795, 0.500, 0.040)
B (0.955, 0.000, 0.707)
C (0.037, 0.500, 0.793)
C (0.208, 0.000, 0.463)
C (0.290, 0.000, 0.042)
C (0.451, 0.500, 0.719)
C (0.549, 0.500, 0.281)
C (0.710, 0.000, 0.958)
C (0.792, 0.000, 0.537)
C (0.963, 0.500, 0.207)

Summary:
Calculated formation energy (eV per atom): -0.310

(4)
Entry from Alexandria: a geometry-optimized YScMn2C structure (PBE).

a = 4.004 Å, b = 4.004 Å, c = 4.806 Å
α = 90.00°, β = 90.00°, γ = 90.00°
Atoms (fractional coordinates):
Y (0.000, 0.000, 0.000)
Sc (0.500, 0.500, 0.000)
Mn (0.000, 0.500, 0.500)
Mn (0.500, 0.000, 0.500)
C (0.000, 0.000, 0.500)

Summary:
Calculated formation energy (eV per atom): 0.169

(5)
Entry from Alexandria: a geometry-optimized CsHgW2 structure (PBE).

a = 11.112 Å, b = 11.112 Å, c = 11.112 Å
α = 156.93°, β = 156.93°, γ = 32.85°
Atoms (fractional coordinates):
Cs (0.000, 0.000, 0.000)
Cs (0.750, 0.250, 0.500)
Hg (0.250, 0.750, 0.500)
Hg (0.500, 0.500, 0.000)
W (0.232, 0.625, 0.107)
W (0.375, 0.482, 0.607)
W (0.518, 0.125, 0.893)
W (0.875, 0.768, 0.393)

Summary:
Calculated formation energy (eV per atom): 1.895

(6)
Entry from Alexandria: a geometry-optimized ScCdGe structure (PBE).

a = 5.597 Å, b = 5.597 Å, c = 7.757 Å
α = 114.55°, β = 114.55°, γ = 33.79°
Atoms (fractional coordinates):
Sc (0.086, 0.086, 0.341)
Sc (0.914, 0.914, 0.659)
Cd (0.360, 0.360, 0.969)
Cd (0.640, 0.640, 0.031)
Ge (0.356, 0.356, 0.334)
Ge (0.644, 0.644, 0.666)

Summary:
Calculated formation energy (eV per atom): -0.370

Q: Which DFT total energy values were calculated for the entries above? A: -18.5 -6.7 -147.7 -39.5 -39.0 -25.9, in eV for the cell shown.